The following is a PBE calculation of a relaxed NaHfTi3 crystal, from the Alexandria database.

a b c (Å): 4.686 4.686 4.686
angles (deg): 90.00 90.00 90.00
Space group Pm-3m (No. 221)
Unique sites:
Na  0.000  0.000  0.000 x1
Hf  0.500  0.500  0.500 x1
Ti  0.000  0.000  0.500 x3

Summary:
Offset from the most stable computed form, meV/atom: 249.9
ΔH_f (0 K), eV per formula unit: 7.2

The following is a PBE calculation of a relaxed Rb12Sn3Br5 crystal, from the Alexandria database.

a b c (Å): 21.027 21.027 21.027
angles (deg): 90.00 90.00 90.00
Space group Ia-3d (No. 230)
Unique sites:
Rb  0.019  0.066  0.653 x96
Sn  0.000  0.250  0.125 x24
Br  0.000  0.000  0.000 x16
Br  0.000  0.250  0.375 x24

Summary:
Final energy, eV per atom: -2.390

The following is a PBE calculation of a relaxed Ca2CdMo crystal, from the Alexandria database.

a b c (Å): 4.723 4.723 9.116
angles (deg): 90.00 90.00 90.00
Space group I-4m2 (No. 119)
Unique sites:
Ca  0.000  0.000  0.000 x2
Ca  0.000  0.500  0.250 x2
Cd  0.000  0.500  0.750 x2
Mo  0.000  0.000  0.500 x2

Summary:
ΔH_f (0 K), eV per formula unit: 2.2

Number 1: total moment 0.000 μB/f.u.. Number 2: total moment 5.053 μB/f.u.. Number 3: total moment 2.626 μB/f.u..